Record 1
Below is a relaxed KRh3S crystal, with properties calculated at the GGA-PBEsol level.

Cell: 4.4261 4.4261 4.4261 Å, 90.00 90.00 90.00°
Sites, in units of the cell vectors:
K  0.5000  0.5000  0.5000
Rh  0.0000  0.5000  0.0000
Rh  0.0000  0.0000  0.5000
Rh  0.5000  0.0000  0.0000
S  0.0000  0.0000  0.0000

Computed properties:
E above lowest polymorph in eV per atom: 0.000
Magnetization in μB per cell: 0.00
Formation energy without anion corrections in eV per atom: 0.201
Symmetry: Pm-3m, No. 221


Record 2
Below is a relaxed KRh3S crystal, with properties calculated at the GGA-PBEsol level.

Cell: 4.6048 4.6048 4.6048 Å, 90.00 90.00 90.00°
Site moments in Bohr magnetons follow the coordinates.
Sites, in units of the cell vectors:
K  0.0000  0.0000  0.0000  0.02
Rh  0.0000  0.5000  0.0000  0.96
Rh  0.0000  0.0000  0.5000  0.96
Rh  0.5000  0.0000  0.0000  0.96
S  0.5000  0.5000  0.5000  0.22

Computed properties:
E above lowest polymorph in eV per atom: 2.346
Magnetization in μB per cell: 3.23
Formation energy without anion corrections in eV per atom: 2.547
Symmetry: Pm-3m, No. 221


Record 3
Below is a relaxed KSi2RhS crystal, with properties calculated at the GGA-PBEsol level.

Cell: 4.5005 4.5005 5.1108 Å, 90.00 90.00 90.00°
Sites, in units of the cell vectors:
Si  0.0000  0.5000  0.0000
Si  0.5000  0.0000  0.0000
K  0.0000  0.0000  0.5000
Rh  0.5000  0.5000  0.5000
S  0.0000  0.0000  0.0000

Computed properties:
Magnetization in μB per cell: 0.00
Formation energy without anion corrections in eV per atom: 0.963
Symmetry: P4/mmm, No. 123


Record 4
Below is a relaxed K2SbRh crystal, with properties calculated at the GGA-PBEsol level.

Cell: 3.0751 3.0751 10.5553 Å, 90.00 90.00 90.00°
Site moments in Bohr magnetons follow the coordinates.
Sites, in units of the cell vectors:
K  0.0000  0.0000  0.7706  -0.01
K  0.0000  0.0000  0.2294  -0.01
Rh  0.5000  0.5000  0.0000  0.69
Sb  0.5000  0.5000  0.5000  0.00

Computed properties:
Magnetization in μB per cell: 0.68
Formation energy without anion corrections in eV per atom: 0.407
Symmetry: P4/mmm, No. 123